Record 1
This record from Alexandria describes crystalline Zn3Ni at its relaxed geometry. The functional is GGA-PBE.

a b c (Å): 4.2740 5.3397 5.3397
angles (deg): 60.00 90.00 90.00
Closest atoms and distances in Å follow each position.
Sites, in units of the cell vectors:
Ni1 0.7500 0.6667 0.6667  12 Zn 2.61-2.67
Zn1 0.7500 0.1705 0.6589  8 Zn 2.61-2.73, 4 Ni 2.61-2.67
Zn2 0.2500 0.3411 0.8295  8 Zn 2.61-2.73, 4 Ni 2.61-2.67
Ni2 0.2500 0.3333 0.3333  12 Zn 2.61-2.67
Zn3 0.2500 0.8295 0.3411  8 Zn 2.61-2.73, 4 Ni 2.61-2.67
Zn4 0.7500 0.1706 0.1706  8 Zn 2.61-2.73, 4 Ni 2.61-2.67
Zn5 0.2500 0.8294 0.8294  8 Zn 2.61-2.73, 4 Ni 2.61-2.67
Zn6 0.7500 0.6589 0.1705  8 Zn 2.61-2.73, 4 Ni 2.61-2.67

Summary:
formation energy = -0.61 eV/f.u.
space group = No. 194



Record 2
This record from Alexandria describes crystalline ZnNi at its relaxed geometry. The functional is GGA-PBE.

a b c (Å): 7.2614 7.2614 7.2614
angles (deg): 90.00 90.00 90.00
Closest atoms and distances in Å follow each position.
Sites, in units of the cell vectors:
Zn1 0.2000 0.2000 0.8000  4 Ni 2.32-2.45
Zn2 0.2000 0.8000 0.2000  4 Ni 2.32-2.45
Ni1 0.8844 0.1156 0.8844  4 Zn 2.32-2.45, 3 Ni 2.37
Ni2 0.6156 0.6156 0.6156  4 Zn 2.32-2.45, 3 Ni 2.37
Zn3 0.7000 0.3000 0.7000  4 Ni 2.32-2.45
Ni3 0.3844 0.6156 0.3844  4 Zn 2.32-2.45, 3 Ni 2.37
Zn4 0.8000 0.8000 0.8000  4 Ni 2.32-2.45
Ni4 0.6156 0.3844 0.3844  4 Zn 2.32-2.45, 3 Ni 2.37
Zn5 0.3000 0.3000 0.3000  4 Ni 2.32-2.45
Ni5 0.1156 0.1156 0.1156  4 Zn 2.32-2.45, 3 Ni 2.37
Zn6 0.7000 0.7000 0.3000  4 Ni 2.32-2.45
Ni6 0.8844 0.8844 0.1156  4 Zn 2.32-2.45, 3 Ni 2.37
Ni7 0.3844 0.3844 0.6156  4 Zn 2.32-2.45, 3 Ni 2.37
Zn7 0.3000 0.7000 0.7000  4 Ni 2.32-2.45
Zn8 0.8000 0.2000 0.2000  4 Ni 2.32-2.45
Ni8 0.1156 0.8844 0.8844  4 Zn 2.32-2.45, 3 Ni 2.37

Summary:
formation energy = 1.17 eV/f.u.
space group = No. 217



Record 3
This record from Alexandria describes crystalline Zn3Ni2 at its relaxed geometry. The functional is GGA-PBE.

a b c (Å): 10.6079 10.6079 10.6079
angles (deg): 14.40 14.40 14.40
Closest atoms and distances in Å follow each position.
Sites, in units of the cell vectors:
Zn1 0.0000 0.0000 0.0000  6 Ni 2.54, 6 Zn 2.66
Zn2 0.7947 0.7947 0.7947  3 Ni 2.52, 6 Zn 2.66
Ni1 0.6023 0.6023 0.6023  6 Zn 2.52-2.54, 6 Ni 2.66
Zn3 0.2053 0.2053 0.2053  3 Ni 2.52, 6 Zn 2.66
Ni2 0.3977 0.3977 0.3977  6 Zn 2.52-2.54, 6 Ni 2.66

Summary:
formation energy = -0.49 eV/f.u.
space group = No. 166



Record 4
This record from Alexandria describes crystalline ZnNi4 at its relaxed geometry. The functional is GGA-PBE.

a b c (Å): 4.2691 4.2691 4.2691
angles (deg): 90.00 90.00 90.00
Closest atoms and distances in Å follow each position.
Sites, in units of the cell vectors:
Ni1 0.5000 0.0000 0.5000  2 Zn 2.13
Ni2 0.0000 0.5000 0.5000  2 Zn 2.13
Ni3 0.5000 0.5000 0.0000  2 Zn 2.13
Ni4 0.0000 0.0000 0.0000  12 Ni 3.02
Zn1 0.5000 0.5000 0.5000  6 Ni 2.13

Summary:
excess energy over the best structure of this formula in the dataset = 1247 meV per atom
formation energy = 5.80 eV/f.u.
space group = No. 221



Record 5
This record from Alexandria describes crystalline Zn2Ni at its relaxed geometry. The functional is GGA-PBE.

a b c (Å): 2.7061 4.9808 6.2440
angles (deg): 73.88 90.00 105.76
Closest atoms and distances in Å follow each position.
Sites, in units of the cell vectors:
Ni1 0.3333 0.6666 0.3212  9 Zn 2.52-2.74, 3 Ni 2.71-2.78
Zn1 0.0368 0.0735 0.4074  5 Ni 2.52-2.74, 7 Zn 2.71-2.73
Zn2 0.9990 0.9981 0.9906  4 Ni 2.55-2.59, 8 Zn 2.55-2.73
Zn3 0.6855 0.3709 0.6482  5 Ni 2.52-2.74, 7 Zn 2.71-2.73
Zn4 0.7232 0.4464 0.0650  4 Ni 2.55-2.59, 8 Zn 2.55-2.73
Ni2 0.3889 0.7779 0.7344  9 Zn 2.52-2.74, 3 Ni 2.71-2.78

Summary:
formation energy = -0.51 eV/f.u.
space group = No. 12



Record 6
This record from Alexandria describes crystalline Zn5Ni2 at its relaxed geometry. The functional is GGA-PBE.

a b c (Å): 2.5876 8.6158 8.6158
angles (deg): 90.00 90.00 90.00
Closest atoms and distances in Å follow each position.
Sites, in units of the cell vectors:
Zn1 0.0000 0.4380 0.2931  4 Ni 2.58-2.64, 6 Zn 2.58-2.82
Zn2 0.0000 0.0000 0.5000  4 Ni 2.55, 6 Zn 2.58-2.59
Ni1 0.5000 0.6805 0.1805  10 Zn 2.55-2.64, 2 Ni 2.59
Zn3 0.0000 0.5000 0.0000  4 Ni 2.55, 6 Zn 2.58-2.59
Zn4 0.0000 0.2069 0.0620  4 Ni 2.58-2.64, 6 Zn 2.58-2.82
Ni2 0.5000 0.1805 0.3195  10 Zn 2.55-2.64, 2 Ni 2.59
Zn5 0.0000 0.9380 0.2069  4 Ni 2.58-2.64, 6 Zn 2.58-2.82
Zn6 0.0000 0.0620 0.7931  4 Ni 2.58-2.64, 6 Zn 2.58-2.82
Ni3 0.5000 0.8195 0.6805  10 Zn 2.55-2.64, 2 Ni 2.59
Zn7 0.0000 0.5620 0.7069  4 Ni 2.58-2.64, 6 Zn 2.58-2.82
Zn8 0.0000 0.7069 0.4380  4 Ni 2.58-2.64, 6 Zn 2.58-2.82
Ni4 0.5000 0.3195 0.8195  10 Zn 2.55-2.64, 2 Ni 2.59
Zn9 0.0000 0.7931 0.9380  4 Ni 2.58-2.64, 6 Zn 2.58-2.82
Zn10 0.0000 0.2931 0.5620  4 Ni 2.58-2.64, 6 Zn 2.58-2.82

Summary:
formation energy = -1.14 eV/f.u.
space group = No. 127



Record 7
This record from Alexandria describes crystalline Zn3Ni at its relaxed geometry. The functional is GGA-PBE.

a b c (Å): 4.7652 8.4788 5.2835
angles (deg): 90.00 90.00 90.00
Closest atoms and distances in Å follow each position.
Sites, in units of the cell vectors:
Zn1 0.7664 0.5100 0.6344  3 Ni 2.53-2.66, 8 Zn 2.61-2.72
Zn2 0.2664 0.5100 0.8656  3 Ni 2.53-2.66, 8 Zn 2.61-2.72
Ni1 0.5813 0.7500 0.8886  10 Zn 2.53-2.77, 2 Ni 2.80
Ni2 0.4187 0.2500 0.1114  10 Zn 2.53-2.77, 2 Ni 2.80
Ni3 0.9187 0.2500 0.3886  10 Zn 2.53-2.77, 2 Ni 2.80
Zn3 0.2664 0.9900 0.8656  3 Ni 2.53-2.66, 8 Zn 2.61-2.72
Ni4 0.0813 0.7500 0.6114  10 Zn 2.53-2.77, 2 Ni 2.80
Zn4 0.2336 0.0100 0.3656  3 Ni 2.53-2.66, 8 Zn 2.61-2.72
Zn5 0.2336 0.4900 0.3656  3 Ni 2.53-2.66, 8 Zn 2.61-2.72
Zn6 0.7336 0.0100 0.1344  3 Ni 2.53-2.66, 8 Zn 2.61-2.72
Zn7 0.7664 0.9900 0.6344  3 Ni 2.53-2.66, 8 Zn 2.61-2.72
Zn8 0.4451 0.2500 0.6101  4 Ni 2.54-2.77, 8 Zn 2.61-2.80
Zn9 0.9451 0.2500 0.8899  4 Ni 2.54-2.77, 8 Zn 2.61-2.80
Zn10 0.0549 0.7500 0.1101  4 Ni 2.54-2.77, 8 Zn 2.61-2.80
Zn11 0.5549 0.7500 0.3899  4 Ni 2.54-2.77, 8 Zn 2.61-2.80
Zn12 0.7336 0.4900 0.1344  3 Ni 2.53-2.66, 8 Zn 2.61-2.72

Summary:
formation energy = -0.50 eV/f.u.
space group = No. 62



Record 8
This record from Alexandria describes crystalline ZnNi at its relaxed geometry. The functional is GGA-PBE.

a b c (Å): 4.3182 5.1526 2.6504
angles (deg): 75.10 90.00 119.86
Closest atoms and distances in Å follow each position.
Sites, in units of the cell vectors:
Ni1 0.0912 0.4921 0.2539  7 Zn 2.53-2.54, 5 Ni 2.59-2.81
Zn1 0.4777 0.9878 0.5061  7 Ni 2.53-2.54, 5 Zn 2.65-2.72
Ni2 0.9921 0.0079 0.9961  7 Zn 2.53-2.54, 5 Ni 2.59-2.81
Zn2 0.6057 0.5122 0.7439  7 Ni 2.53-2.54, 5 Zn 2.65-2.72

Summary:
formation energy = -0.38 eV/f.u.
space group = No. 12



Record 9
This record from Alexandria describes crystalline ZnNi at its relaxed geometry. The functional is GGA-PBE.

a b c (Å): 2.6502 4.8502 6.2025
angles (deg): 73.70 90.00 105.86
Closest atoms and distances in Å follow each position.
Sites, in units of the cell vectors:
Ni1 0.3277 0.6554 0.3265  7 Zn 2.50-2.61, 5 Ni 2.60-2.74
Zn1 0.0379 0.0757 0.3940  6 Ni 2.50-2.61, 6 Zn 2.65-2.72
Ni2 0.3913 0.7826 0.7302  7 Zn 2.51-2.56, 5 Ni 2.59-2.74
Zn2 0.7282 0.4563 0.0574  7 Ni 2.51-2.57, 5 Zn 2.64-2.67
Ni3 0.0074 0.0149 0.9960  6 Zn 2.52-2.57, 6 Ni 2.59-2.65
Zn3 0.6742 0.3484 0.6626  7 Ni 2.53-2.56, 5 Zn 2.64-2.72

Summary:
formation energy = -0.33 eV/f.u.
space group = No. 8



Record 10
This record from Alexandria describes crystalline ZnNi at its relaxed geometry. The functional is GGA-PBE.

a b c (Å): 5.0083 5.0083 6.0241
angles (deg): 74.36 74.36 30.57
Closest atoms and distances in Å follow each position.
Sites, in units of the cell vectors:
Zn1 0.9466 0.9466 0.5928  5 Ni 2.50-2.66, 7 Zn 2.62-2.71
Ni1 0.6101 0.6101 0.2730  5 Zn 2.49-2.56, 7 Ni 2.55-2.64
Ni2 0.0002 0.0002 0.0024  6 Ni 2.55-2.64, 6 Zn 2.57-2.66
Zn2 0.2794 0.2794 0.9635  6 Ni 2.44-2.64, 6 Zn 2.64-2.71
Zn3 0.6646 0.6646 0.6644  5 Ni 2.54-2.57, 7 Zn 2.62-2.71
Ni3 0.3325 0.3325 0.3372  5 Zn 2.44-2.54, 7 Ni 2.57-2.64

Summary:
formation energy = -0.24 eV/f.u.
space group = No. 8



Record 11
This record from Alexandria describes crystalline Zn2Ni at its relaxed geometry. The functional is GGA-PBE.

a b c (Å): 3.8126 4.4678 5.1913
angles (deg): 103.95 90.00 115.26
Closest atoms and distances in Å follow each position.
Sites, in units of the cell vectors:
Zn1 0.1709 0.3418 0.3175  5 Ni 2.53-2.66, 7 Zn 2.57-2.75
Zn2 0.8291 0.6582 0.6825  5 Ni 2.53-2.66, 7 Zn 2.57-2.75
Ni1 0.1595 0.3189 0.8258  10 Zn 2.53-2.66, 2 Ni 2.76
Ni2 0.8405 0.6811 0.1742  10 Zn 2.53-2.66, 2 Ni 2.76
Zn3 0.5000 0.0000 0.0000  6 Ni 2.60-2.66, 6 Zn 2.60-2.65
Zn4 0.5000 0.0000 0.5000  8 Zn 2.57-2.67, 4 Ni 2.64

Summary:
formation energy = -0.50 eV/f.u.
space group = No. 12



Record 12
This record from Alexandria describes crystalline Zn2Ni at its relaxed geometry. The functional is GGA-PBE.

a b c (Å): 5.5801 5.5801 5.5801
angles (deg): 151.56 151.56 40.66
Closest atoms and distances in Å follow each position.
Sites, in units of the cell vectors:
Ni1 0.5000 0.5000 0.0000  8 Zn 2.52, 4 Ni 2.74
Zn1 0.8463 0.8463 0.0000  4 Ni 2.52, 8 Zn 2.74-2.80
Zn2 0.1537 0.1537 0.0000  4 Ni 2.52, 8 Zn 2.74-2.80

Summary:
formation energy = -0.47 eV/f.u.
space group = No. 139